*a*
VASP calculation (meta-GGA SCAN) on a crystal of P3Ir relaxed with PBEsol.

The structure belongs to space group Pm-3m (No. 221); the cell edges are 4.613, 4.613 and 4.613 Å and the angles 90.00°, 90.00° and 90.00°. The distinct sites, in fractional coordinates, are P at (0.000, 0.000, 0.500) and Ir at (0.000, 0.000, 0.000).

Its density of states at the Fermi level is 5.4 states/eV/cell. The value obtained for the magnetization is 0.00 μB/f.u.

***

*b*
VASP calculation (meta-GGA SCAN) on a crystal of P3Ir relaxed with PBEsol.

The structure belongs to space group Pm-3m (No. 221); the cell edges are 3.813, 3.813 and 3.813 Å and the angles 90.00°, 90.00° and 90.00°. The distinct sites, in fractional coordinates, are P at (0.000, 0.000, 0.500) and Ir at (0.500, 0.500, 0.500).

Its density of states at the Fermi level is 1.7 states/eV/cell. The value obtained for the magnetization is 0.00 μB/f.u.

***

*c*
VASP calculation (meta-GGA SCAN) on a crystal of P3Ir relaxed with PBEsol.

The structure belongs to space group Im-3 (No. 204); the cell edges are 8.011, 8.011 and 8.011 Å and the angles 90.00°, 90.00° and 90.00°. The distinct sites, in fractional coordinates, are P at (0.000, 0.140, 0.354) and Ir at (0.250, 0.250, 0.250).

The value obtained for the magnetization is 0.00 μB/f.u.

***

*d*
VASP calculation (meta-GGA SCAN) on a crystal of P3Ir relaxed with PBEsol.

The structure belongs to space group Pmm2 (No. 25); the cell edges are 3.532, 3.550 and 4.902 Å and the angles 90.00°, 90.00° and 90.00°. The distinct sites, in fractional coordinates, are P at (0.000, 0.000, 0.000), P at (0.000, 0.500, 0.342), P at (0.500, 0.500, 0.684) and Ir at (0.500, 0.000, 0.342).

Its density of states at the Fermi level is 1.9 states/eV/cell. The value obtained for the magnetization is 0.00 μB/f.u.

***

Energies in kJ/mol of atoms, measured from the most stable structure: *a* 190.9; *b* 154.6; *c* 0.0; *d* 107.6.

***

*a*
VASP calculation (meta-GGA SCAN) on a crystal of P2IrPdS relaxed with PBEsol.

The structure belongs to space group P4/mmm (No. 123); the cell edges are 4.413, 4.413 and 4.957 Å and the angles 90.00°, 90.00° and 90.00°. The distinct sites, in fractional coordinates, are P at (0.000, 0.500, 0.000), Ir at (0.000, 0.000, 0.000), Pd at (0.500, 0.500, 0.500) and S at (0.000, 0.000, 0.500).

Its density of states at the Fermi level is 4.5 states/eV/cell. The value obtained for the magnetization is 0.00 μB/f.u.

***

*b*
VASP calculation (meta-GGA SCAN) on a crystal of P2IrPdS relaxed with PBEsol.

The structure belongs to space group P4/mmm (No. 123); the cell edges are 4.441, 4.441 and 4.581 Å and the angles 90.00°, 90.00° and 90.00°. The distinct sites, in fractional coordinates, are P at (0.000, 0.500, 0.000), Ir at (0.000, 0.000, 0.500), Pd at (0.500, 0.500, 0.000) and S at (0.500, 0.500, 0.500).

Its density of states at the Fermi level is 3.2 states/eV/cell. The value obtained for the magnetization is 0.00 μB/f.u.

***

Energies in kJ/mol of atoms, measured from the most stable structure: *a* 0.0; *b* 54.9.

***

*a*
VASP calculation (meta-GGA SCAN) on a crystal of P2IrRh relaxed with PBEsol.

The structure belongs to space group P2/m (No. 10); the cell edges are 3.922, 3.767 and 4.031 Å and the angles 90.00°, 92.78° and 90.00°. The distinct sites, in fractional coordinates, are P at (0.182, 0.000, 0.311), Ir at (0.000, 0.500, 0.000) and Rh at (0.500, 0.500, 0.500).

Its density of states at the Fermi level is 1.6 states/eV/cell. The value obtained for the magnetization is 0.00 μB/f.u.

***

*b*
VASP calculation (meta-GGA SCAN) on a crystal of P2IrRh relaxed with PBEsol.

The structure belongs to space group Pmmm (No. 47); the cell edges are 2.760, 4.029 and 4.907 Å and the angles 90.00°, 90.00° and 90.00°. The distinct sites, in fractional coordinates, are P at (0.000, 0.000, 0.000), P at (0.500, 0.000, 0.500), Ir at (0.000, 0.500, 0.500) and Rh at (0.500, 0.500, 0.000).

Its density of states at the Fermi level is 2.7 states/eV/cell. The value obtained for the magnetization is 0.00 μB/f.u.

***

Energies in kJ/mol of atoms, measured from the most stable structure: *a* 0.0; *b* 52.6.

***

*a*
VASP calculation (meta-GGA SCAN) on a crystal of SiP2Ir relaxed with PBEsol.

The structure belongs to space group I-42d (No. 122); the cell edges are 5.209, 5.209 and 10.496 Å and the angles 90.00°, 90.00° and 90.00°. The distinct sites, in fractional coordinates, are Si at (0.000, 0.000, 0.000), P at (0.248, 0.250, 0.625) and Ir at (0.000, 0.000, 0.500).

Its density of states at the Fermi level is 4.9 states/eV/cell. The value obtained for the magnetization is 0.00 μB/f.u.

***

*b*
VASP calculation (meta-GGA SCAN) on a crystal of SiP2Ir relaxed with PBEsol.

The structure belongs to space group P4/mmm (No. 123); the cell edges are 2.877, 2.877 and 6.560 Å and the angles 90.00°, 90.00° and 90.00°. The distinct sites, in fractional coordinates, are Si at (0.000, 0.000, 0.000), P at (0.500, 0.500, 0.257) and Ir at (0.000, 0.000, 0.500).

Its density of states at the Fermi level is 2.1 states/eV/cell. The value obtained for the magnetization is 0.00 μB/f.u.

***

*c*
VASP calculation (meta-GGA SCAN) on a crystal of SiP2Ir relaxed with PBEsol.

The structure belongs to space group Imm2 (No. 44); the cell edges are 2.782, 4.007 and 10.520 Å and the angles 90.00°, 90.00° and 90.00°. The distinct sites, in fractional coordinates, are Si at (0.000, 0.000, 0.000), P at (0.000, 0.000, 0.411), P at (0.000, 0.500, 0.244) and Ir at (0.000, 0.500, 0.697).

Its density of states at the Fermi level is 3.1 states/eV/cell. The value obtained for the magnetization is 0.00 μB/f.u.

***

Energies in kJ/mol of atoms, measured from the most stable structure: *a* 0.0; *b* 72.6; *c* 64.0.

***

*a*
VASP calculation (meta-GGA SCAN) on a crystal of TaP2Ir relaxed with PBEsol.

The structure belongs to space group Fm-3m (No. 225); the cell edges are 6.024, 6.024 and 6.024 Å and the angles 90.00°, 90.00° and 90.00°. The distinct sites, in fractional coordinates, are Ta at (0.000, 0.000, 0.000), P at (0.250, 0.250, 0.250) and Ir at (0.000, 0.000, 0.500).

Its density of states at the Fermi level is 7.9 states/eV/cell. The value obtained for the magnetization is 0.00 μB/f.u.

***

*b*
VASP calculation (meta-GGA SCAN) on a crystal of TaP2Ir relaxed with PBEsol.

The structure belongs to space group R-3m (No. 166, hexagonal axes); the cell edges are 2.9137, 2.9137 and 23.2416 Å and the angles 90.00°, 90.00° and 120.00°. The distinct sites, in fractional coordinates, are Ta at (0.0000, 0.0000, 0.0000), P at (0.0000, 0.0000, 0.2462) and Ir at (0.0000, 0.0000, 0.5000).

Its density of states at the Fermi level is 8.6 states/eV/cell. The value obtained for the magnetization is 0.00 μB/f.u.

***

Energies in kJ/mol of atoms, measured from the most stable structure: *a* 0.0; *b* 20.7.

***

*a*
VASP calculation (meta-GGA SCAN) on a crystal of TcP2Ir relaxed with PBEsol.

The structure belongs to space group R-3m (No. 166, hexagonal axes); the cell edges are 2.8811, 2.8811 and 21.9650 Å and the angles 90.00°, 90.00° and 120.00°. The distinct sites, in fractional coordinates, are Tc at (0.0000, 0.0000, 0.0000), P at (0.0000, 0.0000, 0.2525) and Ir at (0.0000, 0.0000, 0.5000).

Its density of states at the Fermi level is 6.3 states/eV/cell. The value obtained for the magnetization is 0.00 μB/f.u.

***

*b*
VASP calculation (meta-GGA SCAN) on a crystal of TcP2Ir relaxed with PBEsol.

The structure belongs to space group Cm (No. 8); the cell edges are 7.856, 3.136 and 4.689 Å and the angles 90.00°, 103.78° and 90.00°. The distinct sites, in fractional coordinates, are Tc at (0.000, 0.000, 0.000), P at (0.210, 0.500, 0.965), P at (0.480, 0.000, 0.390) and Ir at (0.218, 0.000, 0.582).

Its density of states at the Fermi level is 1.1 states/eV/cell. The value obtained for the magnetization is 0.00 μB/f.u.

***

*c*
VASP calculation (meta-GGA SCAN) on a crystal of TcP2Ir relaxed with PBEsol.

The structure belongs to space group I-42d (No. 122); the cell edges are 5.239, 5.239 and 10.292 Å and the angles 90.00°, 90.00° and 90.00°. The distinct sites, in fractional coordinates, are Tc at (0.000, 0.000, 0.000), P at (0.249, 0.250, 0.625) and Ir at (0.000, 0.000, 0.500).

Its density of states at the Fermi level is 7.1 states/eV/cell. The value obtained for the magnetization is 0.00 μB/f.u.

***

Energies in kJ/mol of atoms, measured from the most stable structure: *a* 21.3; *b* 0.0; *c* 5.3.

***

*a*
VASP calculation (meta-GGA SCAN) on a crystal of TePIr2 relaxed with PBEsol.

The structure belongs to space group R-3m (No. 166, hexagonal axes); the cell edges are 3.7487, 3.7487 and 16.9788 Å and the angles 90.00°, 90.00° and 120.00°. The distinct sites, in fractional coordinates, are Te at (0.0000, 0.0000, 0.0000), P at (0.0000, 0.0000, 0.5000) and Ir at (0.0000, 0.0000, 0.2203).

Its density of states at the Fermi level is 5.2 states/eV/cell. The value obtained for the magnetization is 0.00 μB/f.u.

***

*b*
VASP calculation (meta-GGA SCAN) on a crystal of TePIr2 relaxed with PBEsol.

The structure belongs to space group P4/mmm (No. 123); the cell edges are 2.957, 2.957 and 7.278 Å and the angles 90.00°, 90.00° and 90.00°. The distinct sites, in fractional coordinates, are Te at (0.000, 0.000, 0.000), P at (0.000, 0.000, 0.500) and Ir at (0.500, 0.500, 0.309).

Its density of states at the Fermi level is 2.3 states/eV/cell. The value obtained for the magnetization is 0.00 μB/f.u.

***

Energies in kJ/mol of atoms, measured from the most stable structure: *a* 0.0; *b* 40.2.